No. 1
First-principles (PBE-GGA) data for crystalline Pm2Dy3Y at its relaxed geometry, as listed in Alexandria.

Calculated values
The energy relative to the lowest polymorph listed for this composition is 26.6 meV/atom. As for the formation energy: 0.120 eV per atom. Its total moment is 0.000 μB per formula unit.

a b c (Å): 11.790 11.790 10.270
angles (deg): 108.16 108.16 17.12
Element x y z (fractional)
Pm  0.068  0.068  0.137
Pm  0.309  0.309  0.629
Pm  0.691  0.691  0.371
Pm  0.932  0.932  0.863
Dy  0.069  0.069  0.765
Dy  0.305  0.305  0.285
Dy  0.441  0.441  0.556
Dy  0.559  0.559  0.444
Dy  0.695  0.695  0.715
Dy  0.931  0.931  0.235
Y  0.312  0.312  0.963
Y  0.688  0.688  0.037

---

No. 2
First-principles (PBE-GGA) data for crystalline Na3B at its relaxed geometry, as listed in Alexandria.

Calculated values
The energy relative to the lowest polymorph listed for this composition is 2.6 meV/atom. As for the formation energy: 0.839 eV per atom. Its total moment is 0.003 μB per formula unit.

a b c (Å): 6.978 6.978 6.978
angles (deg): 90.00 90.00 90.00
Element x y z (fractional)
Na  0.000  0.000  0.000
Na  0.000  0.500  0.500
Na  0.250  0.250  0.250
Na  0.250  0.250  0.750
Na  0.250  0.750  0.250
Na  0.250  0.750  0.750
Na  0.500  0.000  0.500
Na  0.500  0.500  0.000
Na  0.750  0.250  0.250
Na  0.750  0.250  0.750
Na  0.750  0.750  0.250
Na  0.750  0.750  0.750
B  0.000  0.000  0.500
B  0.000  0.500  0.000
B  0.500  0.000  0.000
B  0.500  0.500  0.500

---

No. 3
First-principles (PBE-GGA) data for crystalline Te2IrAu at its relaxed geometry, as listed in Alexandria.

Calculated values
The energy relative to the lowest polymorph listed for this composition is 179.7 meV/atom. Its total moment is 0.000 μB per formula unit.

a b c (Å): 3.999 3.999 21.286
angles (deg): 90.00 90.00 120.00
Element x y z (fractional)
Te  0.000  0.000  0.000
Te  0.000  0.000  0.196
Te  0.333  0.667  0.667
Te  0.333  0.667  0.862
Te  0.667  0.333  0.333
Te  0.667  0.333  0.529
Ir  0.000  0.000  0.474
Ir  0.333  0.667  0.140
Ir  0.667  0.333  0.807
Au  0.000  0.000  0.734
Au  0.333  0.667  0.401
Au  0.667  0.333  0.067

---

No. 4
First-principles (PBE-GGA) data for crystalline LiPtI2O at its relaxed geometry, as listed in Alexandria.

Calculated values
The energy relative to the lowest polymorph listed for this composition is 628.8 meV/atom. Its total moment is 0.000 μB per formula unit.

a b c (Å): 5.334 5.334 3.402
angles (deg): 90.00 90.00 90.00
Element x y z (fractional)
Li  0.000  0.000  0.000
Pt  0.500  0.500  0.500
I  0.000  0.500  0.000
I  0.500  0.000  0.000
O  0.000  0.000  0.500

---

No. 5
First-principles (PBE-GGA) data for crystalline AcThSi2Ni2 at its relaxed geometry, as listed in Alexandria.

Calculated values
Its total moment is 0.000 μB per formula unit. Its total energy is -6.380 eV per atom.

a b c (Å): 4.114 4.114 8.553
angles (deg): 90.00 90.00 120.00
Element x y z (fractional)
Ac  0.000  0.000  0.000
Th  0.000  0.000  0.500
Si  0.333  0.667  0.735
Si  0.667  0.333  0.265
Ni  0.333  0.667  0.270
Ni  0.667  0.333  0.730

---

No. 6
First-principles (PBE-GGA) data for crystalline Ta2RhAu at its relaxed geometry, as listed in Alexandria.

Calculated values
As for the formation energy: -0.067 eV per atom. Its total moment is 0.000 μB per formula unit.

a b c (Å): 9.546 2.951 4.923
angles (deg): 90.00 101.55 90.00
Element x y z (fractional)
Ta  0.247  0.000  0.245
Ta  0.253  0.500  0.755
Ta  0.747  0.500  0.245
Ta  0.753  0.000  0.755
Rh  0.000  0.500  0.000
Rh  0.500  0.000  0.000
Au  0.000  0.000  0.500
Au  0.500  0.500  0.500

---

No. 7
First-principles (PBE-GGA) data for crystalline OsBr3O at its relaxed geometry, as listed in Alexandria.

Calculated values
The energy relative to the lowest polymorph listed for this composition is 0.0 meV/atom. Its total moment is 0.608 μB per formula unit.

a b c (Å): 6.396 6.396 12.542
angles (deg): 90.00 90.00 131.70
Element x y z (fractional)
Os  0.064  0.936  0.750
Os  0.936  0.064  0.250
Br  0.164  0.836  0.584
Br  0.164  0.836  0.916
Br  0.403  0.597  0.250
Br  0.597  0.403  0.750
Br  0.836  0.164  0.084
Br  0.836  0.164  0.416
O  0.081  0.919  0.250
O  0.919  0.081  0.750

---

no.,DOS(E_F) (states/eV/cell)
1,18.91
2,12.70
3,7.35
4,7.28
5,4.77
6,7.67
7,5.06